## w
This record from Alexandria describes a relaxed MnFeRh4 crystal. The functional is GGA-PBE.

total magnetic moment: 5.1 Bohr magnetons per cell
DOS(E_F): 1.536 states/eV per atom

```
MnFeRh4
1.0
2.624 0.000 0.759
1.719 5.465 -1.028
-0.419 -2.828 6.363
Mn Fe Rh
1 1 4
Cartesian
0.000 0.000 0.000
1.962 1.318 3.047
2.705 0.425 5.391
0.746 -0.875 2.337
1.219 2.212 0.702
3.178 3.512 3.757
```



## x
This record from Alexandria describes a relaxed MnFeRh4 crystal. The functional is GGA-PBE.

total magnetic moment: 9.9 Bohr magnetons per cell
DOS(E_F): 1.374 states/eV per atom

```
MnFeRh4
1.0
0.000 3.597 3.597
3.597 0.000 3.597
3.597 3.597 0.000
Mn Fe Rh
1 1 4
Cartesian
0.000 0.000 0.000
5.396 5.396 5.396
2.698 4.497 4.497
4.497 4.497 2.698
4.497 2.698 4.497
2.698 2.698 2.698
```



Most stable to least stable, the ends of the list are w and x.



## w
This record from Alexandria describes a relaxed Mn2FeRh2 crystal. The functional is GGA-PBE.

total magnetic moment: 0.0 Bohr magnetons per cell
DOS(E_F): 1.636 states/eV per atom

```
Mn2FeRh2
1.0
7.028 0.000 0.000
0.000 7.028 0.000
0.000 0.000 2.617
Mn Rh Fe
4 4 2
Cartesian
1.186 4.700 1.308
4.700 5.842 1.308
5.842 2.328 1.308
2.328 1.186 1.308
2.595 6.109 0.000
6.109 4.433 0.000
4.433 0.919 0.000
0.919 2.595 0.000
0.000 0.000 0.000
3.514 3.514 0.000
```



## x
This record from Alexandria describes a relaxed Mn2FeRh2 crystal. The functional is GGA-PBE.

total magnetic moment: 0.0 Bohr magnetons per cell
DOS(E_F): 1.996 states/eV per atom

```
Mn2FeRh2
1.0
-2.868 -5.605 2.882
4.985 -0.081 4.805
-1.480 1.560 1.561
Mn Rh Fe
4 4 2
Cartesian
3.304 -2.220 5.349
0.541 -5.001 5.508
-1.187 -3.466 2.337
1.577 -0.685 2.178
2.130 -0.273 4.552
1.412 -3.087 6.684
-1.492 -3.852 4.695
-0.775 -1.038 2.564
0.000 0.000 0.000
1.059 -2.843 3.843
```



Most stable to least stable, the ends of the list are x and w.



## w
This record from Alexandria describes a relaxed Mn4FeRu crystal. The functional is GGA-PBE.

total magnetic moment: 7.8 Bohr magnetons per cell
DOS(E_F): 1.429 states/eV per atom

```
Mn4FeRu
1.0
2.898 0.000 0.000
0.000 5.429 3.433
0.000 2.266 6.010
Mn Fe Ru
4 1 1
Cartesian
1.453 2.415 4.576
1.453 5.318 4.907
0.004 4.090 3.401
0.004 3.643 6.082
0.004 1.152 3.025
1.453 2.734 1.737
```



## x
This record from Alexandria describes a relaxed Mn4FeRu crystal. The functional is GGA-PBE.

total magnetic moment: 2.2 Bohr magnetons per cell
DOS(E_F): 0.916 states/eV per atom

```
Mn4FeRu
1.0
4.171 -1.485 -1.306
0.935 -4.520 -0.033
0.506 -2.223 -4.013
Mn Fe Ru
4 1 1
Cartesian
3.257 -4.030 -1.329
3.042 -2.873 -3.333
3.512 -5.149 -3.350
1.413 -4.402 -2.692
0.000 0.000 0.000
1.403 -2.057 -1.338
```



Most stable to least stable, the ends of the list are x and w.